This record from Alexandria via LeMat-Bulk describes Pm3ScF after structural relaxation. The functional is PBE.

Calculated values
As for the raw formation energy: -949.6 meV/atom. As for the space group: Pm-3m, No. 221. The value obtained for the magnetic moment is 0.000 μB/atom.

a = 5.0666 Å, b = 5.0666 Å, c = 5.0666 Å
α = 90.00°, β = 90.00°, γ = 90.00°
With the nearest neighbours (Å) after each atom.
Element x y z (fractional)
Pm: 0.0000 0.0000 0.5000  2 F 2.53
Pm: 0.0000 0.5000 0.0000  2 F 2.53
Pm: 0.5000 0.0000 0.0000  2 F 2.53
F: 0.0000 0.0000 0.0000  6 Pm 2.53
Sc: 0.5000 0.5000 0.5000  12 Pm 3.58